No. 1
An optimized crystal structure of Cs3Hg4Au2, computed with PBE.

```
9
Lattice="5.0672 0.0000 1.3517 1.9987 6.3642 2.6812 -0.2443 0.5538 11.0895" Properties=species:S:1:pos:R:3 pbc="T T T"
Cs 2.8856 4.7096 9.5301
Cs 0.0000 0.0000 0.0000
Cs 3.9360 2.2083 5.5924
Hg 2.1284 2.4410 2.1949
Hg 4.6932 4.4769 12.9275
Hg 0.6445 2.0886 7.7575
Hg 6.1770 4.8293 7.3650
Au 3.7995 6.1340 6.1039
Au 3.0220 0.7839 9.0185
```

Properties
M_tot = 0.00 μB/f.u.

---

No. 2
An optimized crystal structure of Cs2Hg2Au3, computed with PBE.

```
7
Lattice="-2.1764 1.5588 -4.6552 -3.5859 -4.2328 3.3564 -1.3993 6.9665 2.9870" Properties=species:S:1:pos:R:3 pbc="T T T"
Cs -4.6611 -0.3581 -1.0380
Cs -2.5004 4.6506 2.7263
Hg -4.9333 3.1190 0.2535
Hg -2.2283 1.1735 1.4347
Au -1.0882 0.7794 -2.3276
Au -2.1985 2.9632 -1.0772
Au -4.9631 1.3293 2.7655
```

Properties
M_tot = 0.00 μB/f.u.

---

No. 3
An optimized crystal structure of CsHg2Au, computed with PBE.

```
8
Lattice="4.8723 0.0000 0.0000 -2.4361 6.4677 0.0000 0.0000 0.0000 8.5724" Properties=species:S:1:pos:R:3 pbc="T T T"
Cs 2.4361 5.7505 2.1431
Cs 0.0000 0.7173 6.4293
Hg 0.0000 4.4219 4.8005
Hg 2.4361 2.0458 3.7719
Hg 2.4361 2.0458 0.5143
Hg 0.0000 4.4219 8.0581
Au 0.0000 2.9120 2.1431
Au 2.4361 3.5557 6.4293
```

Properties
M_tot = 0.00 μB/f.u.

---

No. 4
An optimized crystal structure of Cs6Hg12Au, computed with PBE.

```
19
Lattice="-4.1109 -6.2492 -5.9466 2.4790 -6.0503 6.9688 -7.8979 3.6258 3.9740" Properties=species:S:1:pos:R:3 pbc="T T T"
Cs -3.0958 -0.2327 3.0768
Cs -9.1678 -4.7279 3.1511
Cs -5.9690 -6.4641 6.2383
Cs -6.4340 -8.4410 1.9193
Cs -0.3620 -3.9458 1.8450
Cs -3.5608 -2.2096 -1.2422
Hg -6.7185 -1.9279 2.4350
Hg -2.8742 -4.7155 4.9282
Hg -4.3140 -6.0140 -0.0724
Hg -2.8113 -6.7458 2.5611
Hg -6.6555 -3.9582 0.0679
Hg -5.2158 -2.6597 5.0685
Hg -6.9198 1.1500 2.4315
Hg -6.2105 -2.7446 7.9870
Hg -9.5736 -4.1734 -0.9084
Hg -2.6100 -9.8238 2.5646
Hg -3.3193 -5.9291 -2.9910
Hg 0.0438 -4.5004 5.9045
Au 0.0000 0.0000 0.0000
```

Properties
M_tot = 0.00 μB/f.u.

---

No. 5
An optimized crystal structure of Cs2Hg4Au3, computed with PBE.

```
18
Lattice="-1.8522 0.3540 6.2775 -0.0398 -8.8332 0.4864 10.0823 -0.0698 -0.4432" Properties=species:S:1:pos:R:3 pbc="T T T"
Cs 1.9533 -5.3898 0.8803
Cs 6.2370 -3.1593 5.4404
Cs 7.1740 -0.9123 2.1682
Cs 1.0162 -7.6368 4.1525
Hg 7.4909 -6.4430 4.2846
Hg -0.2268 -1.9291 5.1749
Hg 0.6993 -2.1061 2.0361
Hg 8.4170 -6.6200 1.1458
Hg 3.8468 -8.6087 1.6205
Hg 4.3435 0.0596 4.7002
Hg 5.2513 -4.1758 1.7849
Hg 2.9389 -4.3732 4.5358
Au 0.0000 0.0000 0.0000
Au -0.9460 -4.2396 3.3820
Au 4.6762 -6.4759 3.4559
Au 2.5879 -1.8961 6.0035
Au 3.5140 -2.0731 2.8647
Au 5.6023 -6.6529 0.3172
```

Properties
M_tot = 0.00 μB/f.u.

---

No. 6
An optimized crystal structure of Cs5Hg12Au3, computed with PBE.

```
80
Lattice="17.2404 0.0000 0.0000 -5.7468 16.2544 0.0000 -5.7468 -8.1272 14.0768" Properties=species:S:1:pos:R:3 pbc="T T T"
Au 10.0569 5.0795 1.7596
Au 10.0569 11.1749 1.7596
Au -1.4367 7.1113 8.7980
Au 1.4367 -1.0159 5.2788
Au 12.9303 0.0000 3.5192
Au 1.4367 8.1272 3.5192
Au 4.3101 0.0000 10.5576
Au -7.1835 8.1272 10.5576
Au 4.3101 9.1431 8.7980
Au 7.1835 1.0159 5.2788
Au -4.3101 -3.0477 12.3172
Au -4.3101 3.0477 12.3172
Cs -1.4367 4.0636 3.5192
Cs -2.8734 8.1272 0.0000
Cs 0.0000 0.0000 0.0000
Cs 4.3101 3.0477 1.7596
Cs 5.7468 -4.0636 7.0384
Cs 5.7468 8.1272 0.0000
Cs -4.3101 9.1431 5.2788
Cs 7.1835 -5.0795 12.3172
Cs 7.1835 7.1113 5.2788
Cs 1.4367 -4.0636 10.5576
Cs 4.3101 12.1908 3.5192
Cs 2.8734 4.0636 7.0384
Cs 8.6202 0.0000 0.0000
Cs -2.8734 -4.0636 7.0384
Cs -1.4367 1.0159 8.7980
Cs -1.4367 13.2067 1.7596
Cs -5.7468 4.0636 7.0384
Cs 10.0569 -1.0159 8.7980
Cs 1.4367 5.0795 12.3172
Cs 7.1835 4.0636 10.5576
Hg 11.5543 1.4659 1.4739
Hg -0.0607 6.0730 6.5058
Hg 11.9593 3.7997 3.4826
Hg 8.1546 2.9475 2.0064
Hg 2.4694 6.9675 9.1203
Hg 11.4946 7.5402 2.0819
Hg -0.4657 8.9795 5.4890
Hg -5.2811 13.3070 2.0064
Hg 0.4040 9.2870 9.1203
Hg 8.6193 8.7143 2.0819
Hg 8.5595 3.5202 5.0319
Hg 8.5595 14.7885 1.4739
Hg -5.3428 7.3185 8.5122
Hg 2.8743 6.6177 1.5494
Hg -5.6861 12.7343 5.0319
Hg 2.8127 -2.0543 7.5709
Hg -0.4040 0.3511 3.5558
Hg 2.8743 10.2237 0.5326
Hg 8.1546 12.4547 3.4826
Hg -0.0009 6.0307 0.5326
Hg -3.2774 8.4783 10.5210
Hg 3.3391 7.2750 5.4890
Hg 8.2162 8.9359 8.5122
Hg 5.7478 -1.5095 12.5274
Hg 2.4077 0.8523 8.5878
Hg -2.4694 -0.8087 5.5645
Hg -0.0009 9.6367 1.5494
Hg -2.4078 -4.3275 10.5942
Hg 9.0242 -0.3511 3.5558
Hg 5.7477 2.0965 13.5442
Hg 2.8725 -2.0965 13.5442
Hg 2.9341 10.1815 6.5058
Hg 6.1508 7.7762 10.5210
Hg 11.4329 -4.6071 9.0448
Hg 11.0896 0.8087 5.5645
Hg -2.8127 -6.6613 12.6029
Hg 2.8725 1.5095 12.5274
Hg 5.3428 -1.1597 4.9565
Hg -2.8725 -0.5871 11.9948
Hg -2.8127 4.6071 9.0448
Hg 11.0280 -5.1797 12.0703
Hg 6.2125 -0.8523 8.5878
Hg -2.4077 5.1798 12.0703
Hg -5.7477 0.5870 11.9948
Hg 3.2774 1.1597 4.9565
Hg -6.2125 4.3275 10.5942
Hg 5.8075 2.0543 7.5709
Hg -5.8075 6.6613 12.6029
```

Properties
M_tot = 0.00 μB/f.u.

---

No. 7
An optimized crystal structure of Cs4Hg2Au, computed with PBE.

```
14
Lattice="-4.2851 0.3456 7.2286 5.3904 -5.6361 3.4649 8.7367 8.3798 0.0389" Properties=species:S:1:pos:R:3 pbc="T T T"
Cs 2.6525 -0.8413 5.1709
Cs 11.3323 2.9512 2.9346
Cs -1.4903 0.1381 7.7978
Cs 5.2674 -3.5754 6.8518
Cs 2.4418 3.6416 7.3796
Cs 4.5746 6.6646 3.8806
Cs 7.1895 3.9305 5.5615
Cs 7.4003 -0.5524 3.3528
Hg 1.4557 -3.3821 7.9981
Hg 8.3864 6.4713 2.7343
Hg 3.9362 2.6641 3.4647
Hg 5.9059 0.4251 7.2677
Au 4.9151 -2.9078 3.3877
Au 4.9270 5.9970 7.3447
```

Properties
M_tot = 0.00 μB/f.u.

---

No. 8
An optimized crystal structure of Cs5Hg6Au, computed with PBE.

```
12
Lattice="-4.6478 4.7859 -1.6460 -3.9895 -9.0784 -0.0976 2.0104 3.0619 10.0523" Properties=species:S:1:pos:R:3 pbc="T T T"
Cs -3.7980 -3.8238 7.1233
Cs -5.1840 -1.8030 2.5699
Cs -1.9947 -4.5392 -0.0488
Cs -1.4429 0.5724 5.7387
Cs -2.8289 2.5933 1.1854
Au 0.0000 0.0000 0.0000
Hg -1.8182 -3.0578 3.6879
Hg -3.9706 -5.3068 3.3710
Hg -2.7291 -0.8349 -0.6029
Hg -5.9082 -3.4576 -1.1406
Hg -2.6563 4.0762 4.9377
Hg -4.8087 1.8273 4.6208
```

Properties
M_tot = 0.00 μB/f.u.

---

No. 9
An optimized crystal structure of Cs2Hg4Au, computed with PBE.

```
7
Lattice="5.5259 0.0000 0.0000 0.0000 5.5259 0.0000 2.7629 2.7629 9.6319" Properties=species:S:1:pos:R:3 pbc="T T T"
Cs 5.5259 5.5259 6.8324
Cs 2.7629 2.7629 2.7994
Au 0.0000 0.0000 0.0000
Hg 5.5259 5.5259 2.9408
Hg 2.7629 2.7629 6.6911
Hg 0.0000 2.7629 0.0000
Hg 2.7629 0.0000 0.0000
```

Properties
M_tot = 0.00 μB/f.u.

---

No. 10
An optimized crystal structure of Cs5Hg12Au2, computed with PBE.

```
19
Lattice="8.9004 -0.7292 2.0018 -0.2482 6.7879 3.5762 1.3949 -1.7084 11.5779" Properties=species:S:1:pos:R:3 pbc="T T T"
Cs 5.9237 3.9325 9.4243
Cs 1.2601 3.3430 10.2195
Cs 4.4502 -0.3646 1.0009
Cs 8.7870 1.0073 6.9365
Cs 4.1234 0.4178 7.7317
Hg 10.0121 -1.6377 12.0420
Hg 7.2516 0.7531 10.7605
Hg 7.1072 4.7000 12.8400
Hg 3.9281 0.9600 11.3882
Hg 3.8215 3.8762 12.9246
Hg 7.2793 1.5143 14.1081
Hg 2.7678 2.8360 3.0478
Hg 6.1190 3.3903 5.7678
Hg 6.2256 0.4741 4.2313
Hg 2.7955 3.5972 6.3955
Hg 2.9398 -0.3497 4.3160
Hg 0.0350 5.9880 5.1140
Au -0.1699 4.6474 2.4485
Au -0.0783 2.1405 1.1277
```

Properties
M_tot = 0.00 μB/f.u.

---

No. 11
An optimized crystal structure of CsHgAu, computed with PBE.

```
3
Lattice="5.1066 0.0000 0.0000 0.0000 5.0491 0.0000 0.0000 -2.5246 4.3727" Properties=species:S:1:pos:R:3 pbc="T T T"
Cs 3.4032 2.5246 1.4576
Au 0.8579 0.0000 0.0000
Hg 0.8455 0.0000 2.9151
```

Properties
M_tot = 0.00 μB/f.u.

---

No. 12
An optimized crystal structure of Cs4Hg5Au, computed with PBE.

```
10
Lattice="-1.5968 -2.9661 6.6931 1.7240 -8.4376 0.8664 6.3955 0.2416 5.8271" Properties=species:S:1:pos:R:3 pbc="T T T"
Cs 4.6451 -7.6864 10.7423
Cs 3.4521 -3.6440 8.0549
Cs 2.8964 -7.8418 6.0621
Cs 1.7034 -3.7993 3.3746
Hg 6.5151 -6.6600 7.3313
Hg 4.7063 -1.1759 5.1358
Hg 1.6870 -10.2266 8.7931
Hg -0.1217 -4.7424 6.5977
Hg -0.5645 -1.0485 2.3661
Au -1.2070 -2.2420 5.0591
```

Properties
M_tot = 0.00 μB/f.u.

---

no.,total DFT energy (no corrections) (eV/atom)
1,-1.429
2,-1.962
3,-1.434
4,-0.850
5,-1.583
6,-0.983
7,-1.225
8,-0.986
9,-1.077
10,-0.937
11,-1.775
12,-1.055